Material: Ba2YTc
Method: DFT, PBE
State: optimized geometry

abc: 11.493 11.493 11.493
angles: 18.71 18.71 18.71
Fractional positions:
Ba 0.233 0.233 0.233
Ba 0.767 0.767 0.767
Y 0.000 0.000 0.000
Tc 0.500 0.500 0.500

Calculated values
The space-group type is R-3m, No. 166. The volume comes out at 34.11 Å³ per atom. Its size of the total moment is 0.02 μB per formula unit. For the energy relative to the lowest polymorph listed for this composition, the calculation gives 2.01 eV/f.u. The value obtained for the formation energy from the elements is 0.8927 eV/atom.